Entry 1:
Density functional theory data (GGA-PBEsol) for a relaxed structure of Al3SbN.

Total moment ... 1.6 μB/f.u.
Final energy ... -3.1450 eV per atom
ρ ... 2.39 g/cm3
Space group ... No. 221

Cell lengths 5.3220, 5.3220, 5.3220 Å; angles 90.00, 90.00, 90.00 degrees
With the nearest neighbours (Å) after each atom.
Sites, in units of the cell vectors:
Al  0.0000  0.0000  0.5000  2 Sb 2.66
Al  0.0000  0.5000  0.0000  2 Sb 2.66
Al  0.5000  0.0000  0.0000  2 Sb 2.66
Sb  0.0000  0.0000  0.0000  6 Al 2.66
N  0.5000  0.5000  0.5000  12 Al 3.76

Entry 2:
Density functional theory data (GGA-PBEsol) for a relaxed structure of SnB2AsO.

Total moment ... 0.0 μB/f.u.
Final energy ... -3.5920 eV per atom
ρ ... 3.86 g/cm3
Space group ... No. 123

Cell lengths 4.2635, 4.2635, 5.4780 Å; angles 90.00, 90.00, 90.00 degrees
With the nearest neighbours (Å) after each atom.
Sites, in units of the cell vectors:
Sn  0.0000  0.0000  0.0000  4 B 2.13
B  0.0000  0.5000  0.0000  2 Sn 2.13
B  0.5000  0.0000  0.0000  2 Sn 2.13
As  0.0000  0.0000  0.5000  2 Sn 2.74, 4 O 3.01
O  0.5000  0.5000  0.5000  4 As 3.01

Entry 3:
Density functional theory data (GGA-PBEsol) for a relaxed structure of ScPb3S.

Total moment ... 0.0 μB/f.u.
Final energy ... -4.3299 eV per atom
ρ ... 7.62 g/cm3
Space group ... No. 221

Cell lengths 5.3398, 5.3398, 5.3398 Å; angles 90.00, 90.00, 90.00 degrees
With the nearest neighbours (Å) after each atom.
Sites, in units of the cell vectors:
Sc  0.0000  0.0000  0.0000  12 Pb 3.78
Pb  0.0000  0.5000  0.5000  2 S 2.67
Pb  0.5000  0.0000  0.5000  2 S 2.67
Pb  0.5000  0.5000  0.0000  2 S 2.67
S  0.5000  0.5000  0.5000  6 Pb 2.67

Entry 4:
Density functional theory data (GGA-PBEsol) for a relaxed structure of BeAlAs2.

Total moment ... 0.0 μB/f.u.
DFT formation energy ... 100 kJ/mol of formula units
ρ ... 4.78 g/cm3
Energy above the lowest structure with this stoichiometry ... 383 meV/atom
Space group ... No. 35

Cell lengths 2.7486, 2.7486, 8.6576 Å; angles 90.00, 90.00, 99.17 degrees
With the nearest neighbours (Å) after each atom.
Sites, in units of the cell vectors:
Be  0.0000  0.0000  0.0000  4 As 2.43-2.66, 2 Al 2.51
Al  0.5000  0.5000  0.7954  4 Be 2.51-2.74, 4 Al 2.75, 2 As 2.80
As  0.0000  0.0000  0.5454  4 As 2.75, 4 Al 2.80-3.01
As  0.5000  0.5000  0.1902  4 Be 2.43-2.66

Entry 5:
Density functional theory data (GGA-PBEsol) for a relaxed structure of NaCeO2.

Total moment ... 1.0 μB/f.u.
Final energy ... -7.1809 eV per atom
ρ ... 5.41 g/cm3
Space group ... No. 166

Cell lengths 5.9198, 5.9198, 5.9198 Å; angles 34.66, 34.66, 34.66 degrees
With the nearest neighbours (Å) after each atom.
Sites, in units of the cell vectors:
Na  0.0000  0.0000  0.0000  6 O 2.56
Ce  0.5000  0.5000  0.5000  6 O 2.37
O  0.2398  0.2398  0.2398  3 Ce 2.37, 3 Na 2.56
O  0.7602  0.7602  0.7602  3 Ce 2.37, 3 Na 2.56

Entry 6:
Density functional theory data (GGA-PBEsol) for a relaxed structure of SrMnPb2.

Total moment ... 4.5 μB/f.u.
DFT formation energy ... 44 kJ/mol of formula units
ρ ... 8.63 g/cm3
Space group ... No. 123

Cell lengths 4.8656, 4.8656, 4.5271 Å; angles 90.00, 90.00, 90.00 degrees
With the nearest neighbours (Å) after each atom.
Sites, in units of the cell vectors:
Sr  0.0000  0.0000  0.0000  8 Pb 3.32, 4 Mn 3.44
Mn  0.5000  0.5000  0.0000  8 Pb 3.32, 4 Sr 3.44
Pb  0.0000  0.5000  0.5000  4 Mn 3.32, 4 Sr 3.32, 4 Pb 3.44
Pb  0.5000  0.0000  0.5000  4 Mn 3.32, 4 Sr 3.32, 4 Pb 3.44

Entry 7:
Density functional theory data (GGA-PBEsol) for a relaxed structure of ZrTiI2Cl.

Total moment ... 4.8 μB/f.u.
Final energy ... -3.8976 eV per atom
ρ ... 4.13 g/cm3
Space group ... No. 123

Cell lengths 6.1411, 6.1411, 4.5640 Å; angles 90.00, 90.00, 90.00 degrees
With the nearest neighbours (Å) after each atom.
Sites, in units of the cell vectors:
Zr  0.0000  0.0000  0.0000  2 Cl 2.28
Ti  0.5000  0.5000  0.0000  8 I 3.83
I  0.0000  0.5000  0.5000  2 Cl 3.07
I  0.5000  0.0000  0.5000  2 Cl 3.07
Cl  0.0000  0.0000  0.5000  2 Zr 2.28

Entry 8:
Density functional theory data (GGA-PBEsol) for a relaxed structure of LuNb6Cl18.

Total moment ... 0.0 μB/f.u.
Final energy ... -5.6950 eV per atom
ρ ... 3.65 g/cm3
Space group ... No. 148

Cell lengths 9.9209, 9.9209, 9.9209 Å; angles 55.84, 55.84, 55.84 degrees
With the nearest neighbours (Å) after each atom.
Sites, in units of the cell vectors:
Lu  0.0000  0.0000  0.0000  6 Cl 2.57
Nb  0.2961  0.6532  0.4065  5 Cl 2.43-2.61
Nb  0.3468  0.5935  0.7039  5 Cl 2.43-2.61
Nb  0.4065  0.2961  0.6532  5 Cl 2.43-2.61
Nb  0.5935  0.7039  0.3468  5 Cl 2.43-2.61
Nb  0.6532  0.4065  0.2961  5 Cl 2.43-2.61
Nb  0.7039  0.3468  0.5935  5 Cl 2.43-2.61
Cl  0.0355  0.8445  0.2960  1 Lu 2.57, 1 Nb 2.61
Cl  0.0850  0.7823  0.6307  2 Nb 2.43-2.44
Cl  0.1555  0.7040  0.9645  1 Lu 2.57, 1 Nb 2.61
Cl  0.1558  0.4410  0.5702  2 Nb 2.43
Cl  0.2177  0.3693  0.9150  2 Nb 2.43-2.44
Cl  0.2960  0.0355  0.8445  1 Lu 2.57, 1 Nb 2.61
Cl  0.3693  0.9150  0.2177  2 Nb 2.43-2.44
Cl  0.4298  0.8442  0.5590  2 Nb 2.43
Cl  0.4410  0.5702  0.1558  2 Nb 2.43
Cl  0.5590  0.4298  0.8442  2 Nb 2.43
Cl  0.5702  0.1558  0.4410  2 Nb 2.43
Cl  0.6307  0.0850  0.7823  2 Nb 2.43-2.44
Cl  0.7040  0.9645  0.1555  1 Lu 2.57, 1 Nb 2.61
Cl  0.7823  0.6307  0.0850  2 Nb 2.43-2.44
Cl  0.8442  0.5590  0.4298  2 Nb 2.43
Cl  0.8445  0.2960  0.0355  1 Lu 2.57, 1 Nb 2.61
Cl  0.9150  0.2177  0.3693  2 Nb 2.43-2.44
Cl  0.9645  0.1555  0.7040  1 Lu 2.57, 1 Nb 2.61

> Among the records above, which one has the lowest ρ?

Al3SbN